[1]
Density functional theory data (SCAN) for a PBEsol-optimized structure of Nb5S8.

Unit cell a=5.7293 b=5.7293 c=24.7514 alpha=90.00 beta=90.00 gamma=120.00
With the nearest neighbours (Å) after each atom.
Element x y z (fractional)
Nb (0.3333, 0.6667, 0.6271)  6 S 2.47
Nb (0.0000, 0.0000, 0.5000)  6 S 2.48
Nb (0.0000, 0.0000, 0.6277)  6 S 2.47-2.50
Nb (0.0000, 0.0000, 0.8811)  6 S 2.46-2.48
Nb (0.6667, 0.3333, 0.3733)  6 S 2.47-2.50
Nb (0.6667, 0.3333, 0.7557)  6 S 2.44-2.50
Nb (0.6667, 0.3333, 0.6267)  6 S 2.47-2.50
Nb (0.3333, 0.6667, 0.1189)  6 S 2.46-2.48
Nb (0.6667, 0.3333, 0.2443)  6 S 2.44-2.50
Nb (0.6667, 0.3333, 0.8819)  6 S 2.46-2.50
Nb (0.6667, 0.3333, 0.1181)  6 S 2.46-2.50
Nb (0.0000, 0.0000, 0.3723)  6 S 2.47-2.50
Nb (0.3333, 0.6667, 0.3729)  6 S 2.47
Nb (0.0000, 0.0000, 0.1189)  6 S 2.46-2.48
Nb (0.3333, 0.6667, 0.8811)  6 S 2.46-2.48
S (0.3355, 0.9994, 0.4366)  4 Nb 2.47-2.50
S (0.6654, 0.6690, 0.3088)  4 Nb 2.47-2.50
S (0.0006, 0.3360, 0.4366)  4 Nb 2.47-2.50
S (0.3321, 0.3333, 0.1832)  4 Nb 2.44-2.50
S (0.3321, 0.9988, 0.9442)  3 Nb 2.46
S (0.3310, 0.9964, 0.3088)  4 Nb 2.47-2.50
S (0.0006, 0.6645, 0.5634)  4 Nb 2.47-2.50
S (0.0012, 0.3333, 0.8168)  4 Nb 2.44-2.50
S (0.6666, 0.6679, 0.9442)  3 Nb 2.46
S (0.3355, 0.3360, 0.5634)  4 Nb 2.47-2.50
S (0.6640, 0.6645, 0.4366)  4 Nb 2.47-2.50
S (0.0012, 0.6679, 0.1832)  4 Nb 2.44-2.50
S (0.3310, 0.3346, 0.6912)  4 Nb 2.47-2.50
S (0.0012, 0.6679, 0.0558)  3 Nb 2.46
S (0.6640, 0.9994, 0.5634)  4 Nb 2.47-2.50
S (0.0012, 0.3334, 0.9442)  3 Nb 2.46
S (0.6654, 0.9964, 0.6912)  4 Nb 2.47-2.50
S (0.6666, 0.9988, 0.0558)  3 Nb 2.46
S (0.6667, 0.9988, 0.1832)  4 Nb 2.44-2.50
S (0.0036, 0.3346, 0.3088)  4 Nb 2.47-2.50
S (0.3321, 0.3334, 0.0558)  3 Nb 2.46
S (0.0036, 0.6690, 0.6912)  4 Nb 2.47-2.50
S (0.6667, 0.6679, 0.8168)  4 Nb 2.44-2.50
S (0.3321, 0.9988, 0.8168)  4 Nb 2.44-2.50

Output
- Formation energy without anion corrections: -1241 meV per atom
- Crystal system: trigonal
- Space group: No. 149
- V: 18.041 Å³/atom



[2]
Density functional theory data (SCAN) for a PBEsol-optimized structure of Tl2Pd3S2.

Unit cell a=5.7244 b=5.7244 c=5.7244 alpha=60.68 beta=60.68 gamma=60.68
With the nearest neighbours (Å) after each atom.
Element x y z (fractional)
Tl (0.5000, 0.5000, 0.5000)  6 Pd 2.86
Tl (0.0000, 0.0000, 0.0000)  6 Pd 2.89, 2 S 3.04
Pd (0.0000, 0.5000, 0.5000)  2 S 2.32
Pd (0.5000, 0.5000, 0.0000)  2 S 2.32
Pd (0.5000, 0.0000, 0.5000)  2 S 2.32
S (0.2177, 0.2177, 0.2177)  3 Pd 2.32
S (0.7823, 0.7823, 0.7823)  3 Pd 2.32

Output
- Formation energy without anion corrections: -396 meV per atom
- Crystal system: trigonal
- Space group: No. 166
- V: 19.239 Å³/atom



[3]
Density functional theory data (SCAN) for a PBEsol-optimized structure of MgZrCo2.

Unit cell a=3.1564 b=4.2320 c=4.2320 alpha=90.00 beta=90.00 gamma=90.00
With the nearest neighbours (Å) after each atom.
Element x y z (fractional)
Mg (0.5000, 0.5000, 0.5000)  8 Co 2.64
Zr (0.5000, 0.0000, 0.0000)  8 Co 2.64
Co (0.0000, 0.0000, 0.5000)  4 Zr 2.64, 4 Mg 2.64
Co (0.0000, 0.5000, 0.0000)  4 Zr 2.64, 4 Mg 2.64

Output
- Crystal system: tetragonal
- Space group: No. 123
- V: 14.133 Å³/atom
- E_form: -0.08 eV per atom



no.,size of the total moment (μB/f.u.)
1,1.590
2,0.000
3,0.433